# 1
Material: Pu3In
Method: DFT, GGA-PBE
State: relaxed

Values from the calculation:
V (A^3/atom): 26.22
E_tot (eV per cell): -45.7
ΔE_f (eV per atom): -0.004
Symmetry: No. 221
Offset from the most stable computed form (meV/atom): 0
N(E_F) (states/eV per atom): 4.200

```
data_Pu3In
_cell_length_a 4.7157
_cell_length_b 4.7157
_cell_length_c 4.7157
_cell_angle_alpha 90.00
_cell_angle_beta 90.00
_cell_angle_gamma 90.00
_symmetry_space_group_name_H-M 'P 1'
_symmetry_Int_Tables_number 1
_symmetry_space_group_name_Hall 'P 1'
loop_
_atom_site_label
_atom_site_type_symbol
_atom_site_fract_x
_atom_site_fract_y
_atom_site_fract_z
_atom_site_occupancy
Pu1 Pu 0.0000 0.0000 0.5000 1
Pu2 Pu 0.0000 0.5000 0.0000 1
Pu3 Pu 0.5000 0.0000 0.0000 1
In1 In 0.5000 0.5000 0.5000 1
```

---

# 2
Material: MnBeIn2
Method: DFT, GGA-PBE
State: relaxed

Values from the calculation:
V (A^3/atom): 17.40
E_tot (eV per cell): -16.6
ΔE_f (eV per atom): 0.441
Symmetry: No. 123
N(E_F) (states/eV per atom): 0.428

```
data_MnBeIn2
_cell_length_a 3.0126
_cell_length_b 3.0126
_cell_length_c 7.6675
_cell_angle_alpha 90.00
_cell_angle_beta 90.00
_cell_angle_gamma 90.00
_symmetry_space_group_name_H-M 'P 1'
_symmetry_Int_Tables_number 1
_symmetry_space_group_name_Hall 'P 1'
loop_
_atom_site_label
_atom_site_type_symbol
_atom_site_fract_x
_atom_site_fract_y
_atom_site_fract_z
_atom_site_occupancy
Mn1 Mn 0.0000 0.0000 0.0000 1
Be1 Be 0.0000 0.0000 0.5000 1
In1 In 0.5000 0.5000 0.2607 1
In2 In 0.5000 0.5000 0.7393 1
```

---

# 3
Material: IrSI
Method: DFT, GGA-PBE
State: relaxed

Values from the calculation:
Energy relative to the elements, uncorrected (eV/atom): -0.06
V (A^3/atom): 24.90
E_tot (eV per cell): -14.7
Symmetry: No. 8
Offset from the most stable computed form (meV/atom): 147

```
data_IrSI
_cell_length_a 3.6747
_cell_length_b 3.6747
_cell_length_c 6.7172
_cell_angle_alpha 105.57
_cell_angle_beta 105.57
_cell_angle_gamma 60.02
_symmetry_space_group_name_H-M 'P 1'
_symmetry_Int_Tables_number 1
_symmetry_space_group_name_Hall 'P 1'
loop_
_atom_site_label
_atom_site_type_symbol
_atom_site_fract_x
_atom_site_fract_y
_atom_site_fract_z
_atom_site_occupancy
Ir1 Ir 0.0000 0.0000 0.0000 1
S1 S 0.2758 0.2758 0.8240 1
I1 I 0.7550 0.7550 0.2704 1
```

---

# 4
Material: ThI2Cl2
Method: DFT, GGA-PBE
State: relaxed

Values from the calculation:
Energy relative to the elements, uncorrected (eV/atom): -1.63
V (A^3/atom): 46.84
E_tot (eV per cell): -22.3
Symmetry: No. 65
N(E_F) (states/eV per atom): 0.000

```
data_ThI2Cl2
_cell_length_a 7.1032
_cell_length_b 7.1032
_cell_length_c 4.6601
_cell_angle_alpha 90.00
_cell_angle_beta 90.00
_cell_angle_gamma 95.12
_symmetry_space_group_name_H-M 'P 1'
_symmetry_Int_Tables_number 1
_symmetry_space_group_name_Hall 'P 1'
loop_
_atom_site_label
_atom_site_type_symbol
_atom_site_fract_x
_atom_site_fract_y
_atom_site_fract_z
_atom_site_occupancy
Th1 Th 0.0000 0.0000 0.0000 1
I1 I 0.2248 0.2248 0.5000 1
I2 I 0.7752 0.7752 0.5000 1
Cl1 Cl 0.2458 0.7542 0.0000 1
Cl2 Cl 0.7542 0.2458 0.0000 1
```

---

# 5
Material: Sc2ZnSe
Method: DFT, GGA-PBE
State: relaxed

Values from the calculation:
Energy relative to the elements, uncorrected (eV/atom): -0.03
V (A^3/atom): 20.60
E_tot (eV per cell): -17.6
Symmetry: No. 216
Offset from the most stable computed form (meV/atom): 941
N(E_F) (states/eV per atom): 1.433

```
data_Sc2ZnSe
_cell_length_a 4.8843
_cell_length_b 4.8843
_cell_length_c 4.8843
_cell_angle_alpha 60.00
_cell_angle_beta 60.00
_cell_angle_gamma 60.00
_symmetry_space_group_name_H-M 'P 1'
_symmetry_Int_Tables_number 1
_symmetry_space_group_name_Hall 'P 1'
loop_
_atom_site_label
_atom_site_type_symbol
_atom_site_fract_x
_atom_site_fract_y
_atom_site_fract_z
_atom_site_occupancy
Sc1 Sc 0.0000 0.0000 0.0000 1
Sc2 Sc 0.2500 0.2500 0.2500 1
Zn1 Zn 0.7500 0.7500 0.7500 1
Se1 Se 0.5000 0.5000 0.5000 1
```

---

# 6
Material: La4SiGe
Method: DFT, GGA-PBE
State: relaxed

Values from the calculation:
Energy relative to the elements, uncorrected (eV/atom): -0.54
V (A^3/atom): 29.65
E_tot (eV per cell): -66.0
Symmetry: No. 15
Offset from the most stable computed form (meV/atom): 0
N(E_F) (states/eV per atom): 1.147

```
data_La4SiGe
_cell_length_a 8.2051
_cell_length_b 8.2051
_cell_length_c 6.5437
_cell_angle_alpha 106.00
_cell_angle_beta 106.00
_cell_angle_gamma 111.90
_symmetry_space_group_name_H-M 'P 1'
_symmetry_Int_Tables_number 1
_symmetry_space_group_name_Hall 'P 1'
loop_
_atom_site_label
_atom_site_type_symbol
_atom_site_fract_x
_atom_site_fract_y
_atom_site_fract_z
_atom_site_occupancy
La1 La 0.0582 0.6851 0.9095 1
La2 La 0.2421 0.3908 0.7177 1
La3 La 0.3149 0.9418 0.5905 1
La4 La 0.3908 0.2421 0.2177 1
La5 La 0.6092 0.7579 0.7823 1
La6 La 0.6851 0.0582 0.4095 1
La7 La 0.7579 0.6092 0.2823 1
La8 La 0.9418 0.3149 0.0905 1
Si1 Si 0.3736 0.6264 0.2500 1
Si2 Si 0.6264 0.3736 0.7500 1
Ge1 Ge 0.0019 0.9981 0.2500 1
Ge2 Ge 0.9981 0.0019 0.7500 1
```

---

Q: Look up the V of the third one.
A: 24.90 A^3/atom

---

Q: Among the records above, which one has the lowest V?
A: MnBeIn2

---

Q: Look up the E_tot of the second one.
A: -16.6 eV per cell

---

Q: What is the E_tot in the third record?
A: -14.7 eV per cell